Entry from Alexandria via LeMat-Bulk: crystalline TeP at its relaxed geometry (PBE).

Summary:
The formation energy (no corrections) is 0.712 eV per atom. For the magnetic moment, the calculation gives 0.00 μB/cell. The calculated total energy comes out at -42.76 eV/cell. The density comes out at 3.37 g cm⁻³.

Cell lengths 7.772, 7.772, 7.772 Å; angles 90.00, 90.00, 90.00 degrees
Fractional coordinates of all 12 atoms:
Te1 0.000 0.250 0.500
Te2 0.000 0.750 0.500
Te3 0.250 0.500 0.000
Te4 0.500 0.000 0.250
Te5 0.500 0.000 0.750
Te6 0.750 0.500 0.000
P1 0.000 0.500 0.250
P2 0.000 0.500 0.750
P3 0.250 0.000 0.500
P4 0.500 0.250 0.000
P5 0.500 0.750 0.000
P6 0.750 0.000 0.500

Entry from Alexandria via LeMat-Bulk: crystalline SrZr2Pd at its relaxed geometry (PBE).

Summary:
As for the energy above the most stable polymorph in this dataset: 0.0 meV/atom. For the magnetic moment, the calculation gives 0.00 μB/cell. The calculated total energy comes out at -22.62 eV/cell. The energy of formation from the pure elements comes out at 0.34 eV/atom. The density comes out at 7.01 g cm⁻³.

Cell lengths 5.014, 5.014, 5.014 Å; angles 60.00, 60.00, 60.00 degrees
Fractional coordinates of all 4 atoms:
Sr1 0.000 0.000 0.000
Zr1 0.250 0.250 0.250
Zr2 0.750 0.750 0.750
Pd1 0.500 0.500 0.500

Entry from Alexandria via LeMat-Bulk: crystalline Cs2FeCu2Cl6 at its relaxed geometry (PBE).

Summary:
The formation energy (no corrections) is -1.068 eV per atom. For the magnetic moment, the calculation gives 4.00 μB/cell. The calculated total energy comes out at -41.19 eV/cell. The density comes out at 3.59 g cm⁻³.

Cell lengths 7.306, 7.306, 7.764 Å; angles 116.92, 116.92, 59.95 degrees
Fractional coordinates of all 11 atoms:
Cs1 0.230 0.230 0.194
Cs2 0.770 0.770 0.806
Fe1 0.000 0.000 0.500
Cu1 0.414 0.414 0.734
Cu2 0.586 0.586 0.266
Cl1 0.232 0.762 0.264
Cl2 0.233 0.233 0.721
Cl3 0.238 0.768 0.736
Cl4 0.762 0.232 0.264
Cl5 0.767 0.767 0.279
Cl6 0.768 0.238 0.736

Entry from Alexandria via LeMat-Bulk: crystalline YCdSb2I at its relaxed geometry (PBE).

Summary:
The formation energy (no corrections) is 0.248 eV per atom. As for the energy above the most stable polymorph in this dataset: 186.6 meV/atom. For the magnetic moment, the calculation gives 0.00 μB/cell. The calculated total energy comes out at -15.94 eV/cell. The density comes out at 5.48 g cm⁻³.

Cell lengths 5.423, 5.423, 5.890 Å; angles 90.00, 90.00, 90.00 degrees
Fractional coordinates of all 5 atoms:
Y1 0.000 0.000 0.000
Cd1 0.500 0.500 0.500
Sb1 0.000 0.500 0.500
Sb2 0.500 0.000 0.500
I1 0.500 0.500 0.000

Entry from Alexandria via LeMat-Bulk: crystalline Th2SnPb at its relaxed geometry (PBE).

Summary:
As for the energy above the most stable polymorph in this dataset: 0.0 meV/atom. For the magnetic moment, the calculation gives 0.00 μB/cell. The calculated total energy comes out at -24.13 eV/cell. The energy of formation from the pure elements comes out at -0.40 eV/atom. The density comes out at 11.17 g cm⁻³.

Cell lengths 3.599, 3.599, 9.063 Å; angles 90.00, 90.00, 90.00 degrees
Fractional coordinates of all 4 atoms:
Th1 0.000 0.000 0.243
Th2 0.000 0.000 0.757
Sn1 0.500 0.500 0.000
Pb1 0.500 0.500 0.500

Entry from Alexandria via LeMat-Bulk: crystalline KBeW2 at its relaxed geometry (PBE).

Summary:
For the magnetic moment, the calculation gives 0.00 μB/cell. The calculated total energy comes out at -24.51 eV/cell. The energy of formation from the pure elements comes out at 1.55 eV/atom. The density comes out at 9.56 g cm⁻³.

Cell lengths 5.961, 5.961, 2.664 Å; angles 100.26, 100.26, 124.41 degrees
Fractional coordinates of all 4 atoms:
K1 0.000 0.000 0.000
Be1 0.500 0.500 0.000
W1 0.000 0.500 0.500
W2 0.500 0.000 0.500

Entry from Alexandria via LeMat-Bulk: crystalline NdPaO at its relaxed geometry (PBE).

Summary:
The formation energy (no corrections) is -1.477 eV per atom. For the magnetic moment, the calculation gives 0.00 μB/cell. The calculated total energy comes out at -94.61 eV/cell. The density comes out at 10.33 g cm⁻³.

Cell lengths 11.798, 3.418, 6.237 Å; angles 90.00, 90.00, 90.00 degrees
Fractional coordinates of all 12 atoms:
Nd1 0.246 0.250 0.056
Nd2 0.254 0.750 0.556
Nd3 0.746 0.250 0.444
Nd4 0.754 0.750 0.944
Pa1 0.007 0.250 0.739
Pa2 0.493 0.750 0.239
Pa3 0.507 0.250 0.761
Pa4 0.993 0.750 0.261
O1 0.122 0.250 0.386
O2 0.378 0.750 0.886
O3 0.622 0.250 0.114
O4 0.878 0.750 0.614

Entry from Alexandria via LeMat-Bulk: crystalline Nd12H5Pt3 at its relaxed geometry (PBE).

Summary:
For the magnetic moment, the calculation gives 0.00 μB/cell. The calculated total energy comes out at -407.17 eV/cell. The density comes out at 7.99 g cm⁻³.

Cell lengths 13.583, 13.583, 13.583 Å; angles 109.47, 109.47, 109.47 degrees
Fractional coordinates of all 80 atoms:
Nd1 0.025 0.215 0.118
Nd2 0.025 0.310 0.908
Nd3 0.092 0.618 0.403
Nd4 0.092 0.975 0.690
Nd5 0.097 0.715 0.690
Nd6 0.097 0.882 0.408
Nd7 0.118 0.025 0.215
Nd8 0.118 0.592 0.903
Nd9 0.190 0.215 0.597
Nd10 0.190 0.475 0.592
Nd11 0.215 0.118 0.025
Nd12 0.215 0.597 0.190
Nd13 0.285 0.310 0.903
Nd14 0.285 0.475 0.382
Nd15 0.310 0.903 0.285
Nd16 0.310 0.908 0.025
Nd17 0.382 0.285 0.475
Nd18 0.382 0.597 0.908
Nd19 0.403 0.092 0.618
Nd20 0.403 0.810 0.785
Nd21 0.408 0.097 0.882
Nd22 0.408 0.810 0.525
Nd23 0.475 0.382 0.285
Nd24 0.475 0.592 0.190
Nd25 0.525 0.408 0.810
Nd26 0.525 0.618 0.715
Nd27 0.592 0.190 0.475
Nd28 0.592 0.903 0.118
Nd29 0.597 0.190 0.215
Nd30 0.597 0.908 0.382
Nd31 0.618 0.403 0.092
Nd32 0.618 0.715 0.525
Nd33 0.690 0.092 0.975
Nd34 0.690 0.097 0.715
Nd35 0.715 0.525 0.618
Nd36 0.715 0.690 0.097
Nd37 0.785 0.403 0.810
Nd38 0.785 0.882 0.975
Nd39 0.810 0.525 0.408
Nd40 0.810 0.785 0.403
Nd41 0.882 0.408 0.097
Nd42 0.882 0.975 0.785
Nd43 0.903 0.118 0.592
Nd44 0.903 0.285 0.310
Nd45 0.908 0.025 0.310
Nd46 0.908 0.382 0.597
Nd47 0.975 0.690 0.092
Nd48 0.975 0.785 0.882
H1 0.000 0.000 0.000
H2 0.000 0.000 0.500
H3 0.000 0.500 0.000
H4 0.000 0.500 0.500
H5 0.125 0.750 0.875
H6 0.125 0.875 0.250
H7 0.250 0.125 0.875
H8 0.250 0.625 0.375
H9 0.375 0.250 0.625
H10 0.375 0.625 0.750
H11 0.500 0.000 0.000
H12 0.500 0.000 0.500
H13 0.500 0.500 0.000
H14 0.500 0.500 0.500
H15 0.625 0.375 0.250
H16 0.625 0.750 0.375
H17 0.750 0.375 0.625
H18 0.750 0.875 0.125
H19 0.875 0.125 0.750
H20 0.875 0.250 0.125
Pt1 0.125 0.250 0.375
Pt2 0.125 0.375 0.750
Pt3 0.250 0.375 0.125
Pt4 0.250 0.875 0.625
Pt5 0.375 0.125 0.250
Pt6 0.375 0.750 0.125
Pt7 0.625 0.250 0.875
Pt8 0.625 0.875 0.750
Pt9 0.750 0.125 0.375
Pt10 0.750 0.625 0.875
Pt11 0.875 0.625 0.250
Pt12 0.875 0.750 0.625

Entry from Alexandria via LeMat-Bulk: crystalline U2Tc5Sn at its relaxed geometry (PBE).

Summary:
For the magnetic moment, the calculation gives 0.00 μB/cell. The calculated total energy comes out at -158.93 eV/cell. The energy of formation from the pure elements comes out at -0.13 eV/atom. The density comes out at 13.10 g cm⁻³.

Cell lengths 5.706, 11.286, 4.270 Å; angles 90.00, 90.00, 90.00 degrees
Fractional coordinates of all 16 atoms:
U1 0.178 0.142 0.000
U2 0.322 0.642 0.000
U3 0.678 0.358 0.000
U4 0.822 0.858 0.000
Tc1 0.000 0.000 0.500
Tc2 0.072 0.750 0.500
Tc3 0.206 0.380 0.000
Tc4 0.294 0.880 0.000
Tc5 0.428 0.250 0.500
Tc6 0.500 0.500 0.500
Tc7 0.572 0.750 0.500
Tc8 0.706 0.120 0.000
Tc9 0.794 0.620 0.000
Tc10 0.928 0.250 0.500
Sn1 0.000 0.500 0.500
Sn2 0.500 0.000 0.500

Entry from Alexandria via LeMat-Bulk: crystalline Pa3N5 at its relaxed geometry (PBE).

Summary:
The formation energy (no corrections) is -1.574 eV per atom. For the magnetic moment, the calculation gives 0.00 μB/cell. The calculated total energy comes out at -330.83 eV/cell. The density comes out at 11.33 g cm⁻³.

Cell lengths 9.992, 7.078, 6.325 Å; angles 90.00, 90.00, 90.00 degrees
Fractional coordinates of all 32 atoms:
Pa1 0.003 0.250 0.040
Pa2 0.176 0.003 0.482
Pa3 0.176 0.497 0.482
Pa4 0.324 0.503 0.982
Pa5 0.324 0.997 0.982
Pa6 0.497 0.750 0.540
Pa7 0.503 0.250 0.460
Pa8 0.676 0.003 0.018
Pa9 0.676 0.497 0.018
Pa10 0.824 0.503 0.518
Pa11 0.824 0.997 0.518
Pa12 0.997 0.750 0.960
N1 0.015 0.250 0.465
N2 0.108 0.518 0.143
N3 0.108 0.982 0.143
N4 0.207 0.250 0.857
N5 0.211 0.750 0.826
N6 0.289 0.250 0.326
N7 0.293 0.750 0.357
N8 0.392 0.018 0.643
N9 0.392 0.482 0.643
N10 0.485 0.750 0.965
N11 0.515 0.250 0.035
N12 0.608 0.518 0.357
N13 0.608 0.982 0.357
N14 0.707 0.250 0.643
N15 0.711 0.750 0.674
N16 0.789 0.250 0.174
N17 0.793 0.750 0.143
N18 0.892 0.018 0.857
N19 0.892 0.482 0.857
N20 0.985 0.750 0.535

Entry from Alexandria via LeMat-Bulk: crystalline Li4AcHg at its relaxed geometry (PBE).

Summary:
For the magnetic moment, the calculation gives 0.00 μB/cell. The calculated total energy comes out at -12.75 eV/cell. The energy of formation from the pure elements comes out at -0.11 eV/atom. The density comes out at 5.70 g cm⁻³.

Cell lengths 5.724, 5.724, 5.724 Å; angles 60.00, 60.00, 60.00 degrees
Fractional coordinates of all 6 atoms:
Li1 0.122 0.122 0.122
Li2 0.122 0.122 0.633
Li3 0.122 0.633 0.122
Li4 0.633 0.122 0.122
Ac1 0.500 0.500 0.500
Hg1 0.750 0.750 0.750

Entry from Alexandria via LeMat-Bulk: crystalline Sb2OsPt at its relaxed geometry (PBE).

Summary:
The formation energy (no corrections) is 0.414 eV per atom. As for the energy above the most stable polymorph in this dataset: 310.9 meV/atom. For the magnetic moment, the calculation gives 0.00 μB/cell. The calculated total energy comes out at -23.86 eV/cell. The density comes out at 13.83 g cm⁻³.

Cell lengths 4.744, 4.744, 4.744 Å; angles 60.00, 60.00, 60.00 degrees
Fractional coordinates of all 4 atoms:
Sb1 0.250 0.250 0.250
Sb2 0.750 0.750 0.750
Os1 0.000 0.000 0.000
Pt1 0.500 0.500 0.500